{"formula": "KNbMo2Ru", "functional": "PBE", "state": "relaxed", "cell": [[4.745, 0.000, 0.000], [0.000, 4.745, 0.000], [0.000, 0.000, 4.959]], "species": ["K", "Nb", "Mo", "Mo", "Ru"], "fractional_positions": [[0.000, 0.000, 0.000], [0.500, 0.500, 0.000], [0.000, 0.500, 0.500], [0.500, 0.000, 0.500], [0.000, 0.000, 0.500]], "magmom_total_mub_per_cell": 0.00, "formation_energy_ev_per_fu": 10.336, "space_group": "P4/mmm (123)", "energy_ev_per_cell": -31.77}